First-principles (PBE) data for a relaxed structure of Hf3Te6Pd, as listed in Alexandria via LeMat-Bulk.

Lattice parameters (Å, degrees): 8.2900 8.2900 8.2900 87.03 87.03 87.03
Element x y z (fractional)
Hf  0.0734  0.5951  0.2117
Hf  0.2117  0.0734  0.5951
Hf  0.4049  0.7883  0.9266
Hf  0.5951  0.2117  0.0734
Hf  0.7883  0.9266  0.4049
Hf  0.9266  0.4049  0.7883
Te  0.0892  0.6886  0.8676
Te  0.1324  0.9108  0.3114
Te  0.1814  0.4119  0.5285
Te  0.3114  0.1324  0.9108
Te  0.4119  0.5285  0.1814
Te  0.4715  0.8186  0.5881
Te  0.5285  0.1814  0.4119
Te  0.5881  0.4715  0.8186
Te  0.6886  0.8676  0.0892
Te  0.8186  0.5881  0.4715
Te  0.8676  0.0892  0.6886
Te  0.9108  0.3114  0.1324
Pd  0.0000  0.0000  0.0000
Pd  0.5000  0.5000  0.5000

Results
- Symmetry: R-3, No. 148
- DOS at the Fermi energy: 11.944 states/eV per cell
- Calculated density: 8237 kg/m3

***

First-principles (PBE) data for a relaxed structure of HfTe3Pd, as listed in Alexandria via LeMat-Bulk.

Lattice parameters (Å, degrees): 5.1992 5.1992 5.1992 90.00 90.00 90.00
Element x y z (fractional)
Hf  0.0000  0.0000  0.0000
Te  0.0000  0.5000  0.5000
Te  0.5000  0.0000  0.5000
Te  0.5000  0.5000  0.0000
Pd  0.5000  0.5000  0.5000

Results
- Symmetry: Pm-3m, No. 221
- DOS at the Fermi energy: 4.852 states/eV per cell
- Calculated density: 7889 kg/m3

***

First-principles (PBE) data for a relaxed structure of Hf2TePd, as listed in Alexandria via LeMat-Bulk.

Lattice parameters (Å, degrees): 6.1604 6.1604 6.1604 104.08 104.08 120.90
Element x y z (fractional)
Hf  0.1027  0.6250  0.9777
Hf  0.3750  0.3527  0.4777
Hf  0.6473  0.1250  0.0223
Hf  0.8750  0.8973  0.5223
Te  0.2500  0.7500  0.5000
Te  0.5000  0.5000  0.0000
Pd  0.0000  0.0000  0.0000
Pd  0.7500  0.2500  0.5000

Results
- Symmetry: I-42d, No. 122
- DOS at the Fermi energy: 6.899 states/eV per cell
- Calculated density: 11247 kg/m3

***

First-principles (PBE) data for a relaxed structure of HfTePd, as listed in Alexandria via LeMat-Bulk.

Lattice parameters (Å, degrees): 4.2073 4.2073 8.4304 107.10 107.10 78.52
Element x y z (fractional)
Hf  0.1521  0.1521  0.2185
Hf  0.8479  0.8479  0.7815
Te  0.3384  0.3384  0.6373
Te  0.6616  0.6616  0.3627
Pd  0.2680  0.2680  0.9517
Pd  0.7320  0.7320  0.0483

Results
- Symmetry: C2/m, No. 12
- DOS at the Fermi energy: 1.905 states/eV per cell
- Calculated density: 10126 kg/m3

***

First-principles (PBE) data for a relaxed structure of Hf2TePd9, as listed in Alexandria via LeMat-Bulk.

Lattice parameters (Å, degrees): 4.0259 4.0259 12.2336 90.00 90.00 90.00
Element x y z (fractional)
Hf  0.0000  0.0000  0.1646
Hf  0.0000  0.0000  0.8354
Te  0.0000  0.0000  0.5000
Pd  0.0000  0.5000  0.0000
Pd  0.0000  0.5000  0.3225
Pd  0.0000  0.5000  0.6775
Pd  0.5000  0.0000  0.0000
Pd  0.5000  0.0000  0.3225
Pd  0.5000  0.0000  0.6775
Pd  0.5000  0.5000  0.1622
Pd  0.5000  0.5000  0.5000
Pd  0.5000  0.5000  0.8378

Results
- Symmetry: P4/mmm, No. 123
- DOS at the Fermi energy: 6.586 states/eV per cell
- Calculated density: 12079 kg/m3

***

First-principles (PBE) data for a relaxed structure of HfTePd, as listed in Alexandria via LeMat-Bulk.

Lattice parameters (Å, degrees): 3.9541 3.9541 8.2083 90.00 90.00 90.00
Element x y z (fractional)
Hf  0.2500  0.2500  0.2368
Hf  0.7500  0.7500  0.7632
Te  0.2500  0.2500  0.6249
Te  0.7500  0.7500  0.3751
Pd  0.2500  0.7500  0.0000
Pd  0.7500  0.2500  0.0000

Results
- Symmetry: P4/nmm, No. 129
- DOS at the Fermi energy: 1.736 states/eV per cell
- Calculated density: 10675 kg/m3

***

First-principles (PBE) data for a relaxed structure of HfTe6Pd, as listed in Alexandria via LeMat-Bulk.

Lattice parameters (Å, degrees): 6.7231 6.7328 6.7609 63.20 63.05 63.28
Element x y z (fractional)
Hf  0.0000  0.0000  0.0000
Te  0.0649  0.7237  0.4471
Te  0.2712  0.5504  0.9366
Te  0.4509  0.0626  0.7233
Te  0.5491  0.9374  0.2767
Te  0.7288  0.4496  0.0634
Te  0.9351  0.2763  0.5529
Pd  0.5000  0.5000  0.5000

Results
- Symmetry: P-1, No. 2
- DOS at the Fermi energy: 5.939 states/eV per cell
- Calculated density: 7531 kg/m3

***

First-principles (PBE) data for a relaxed structure of Hf2Te6Pd, as listed in Alexandria via LeMat-Bulk.

Lattice parameters (Å, degrees): 6.7420 6.7420 12.2268 90.00 90.00 90.00
Element x y z (fractional)
Hf  0.0000  0.0000  0.1573
Hf  0.0000  0.0000  0.8427
Hf  0.5000  0.5000  0.3427
Hf  0.5000  0.5000  0.6573
Te  0.1947  0.1947  0.3326
Te  0.1947  0.1947  0.6674
Te  0.2122  0.2122  0.0000
Te  0.2878  0.7122  0.5000
Te  0.3053  0.6947  0.1674
Te  0.3053  0.6947  0.8326
Te  0.6947  0.3053  0.1674
Te  0.6947  0.3053  0.8326
Te  0.7122  0.2878  0.5000
Te  0.7878  0.7878  0.0000
Te  0.8053  0.8053  0.3326
Te  0.8053  0.8053  0.6674
Pd  0.0000  0.0000  0.5000
Pd  0.5000  0.5000  0.0000

Results
- Symmetry: P4_2/mnm, No. 136
- DOS at the Fermi energy: 9.287 states/eV per cell
- Calculated density: 7344 kg/m3

***

Magnetization across the listed records, respectively: 0.00; 0.00; 0.00; 0.00; 0.00; 0.00; 0.00; 0.00 μB/f.u..
ΔE_f (raw) across the listed records, respectively: -0.507; 0.393; -0.257; -0.616; -0.659; -0.647; -0.222; -0.448 eV/atom.